SmHo3Tm | PBE-GGA | optimized geometry

SG: P2_1/m
Magnetic moment (μB per atom): 0.000

Cell: 3.5888 8.4895 11.5031 Å, 90.00 90.00 102.08°
Fractional positions:
Sm: 0.0019 0.5181 0.2500
Sm: 0.9981 0.4819 0.7500
Ho: 0.8424 0.1880 0.0006
Ho: 0.1576 0.8120 0.9994
Ho: 0.8424 0.1880 0.4994
Ho: 0.1576 0.8120 0.5006
Ho: 0.6809 0.8652 0.2500
Ho: 0.3191 0.1348 0.7500
Tm: 0.3379 0.1826 0.2500
Tm: 0.6621 0.8174 0.7500

Sm6Ho6Tm | PBE-GGA | optimized geometry

SG: P6/mmm
Magnetic moment (μB per atom): 0.240

Cell: 6.6989 6.6989 11.3489 Å, 90.00 90.00 120.00°
Last column: magnetic moment on the atom in μB.
Fractional positions:
Sm: 0.0000 0.0000 0.6581  0.16
Sm: 0.0000 0.0000 0.3419  0.16
Sm: 0.3333 0.6667 0.0000  0.04
Sm: 0.6667 0.3333 0.0000  0.04
Sm: 0.3333 0.6667 0.5000  0.23
Sm: 0.6667 0.3333 0.5000  0.23
Ho: 0.0000 0.5000 0.7552  0.16
Ho: 0.5000 0.0000 0.7552  0.16
Ho: 0.5000 0.5000 0.7552  0.16
Ho: 0.5000 0.0000 0.2448  0.16
Ho: 0.0000 0.5000 0.2448  0.16
Ho: 0.5000 0.5000 0.2448  0.16
Tm: 0.0000 0.0000 0.0000  0.07

DFT total energy
In order: -42.8; -56.5
Unit: eV per cell
Density
In order: 7.9; 7.8
Unit: g/cm3
Formation energy
In order: 0.302; 0.288
Unit: eV/atom